Below is a geometry-optimized MgFeTc structure, with properties calculated at the PBE level.

Structure (CIF):
```
data_MgFeTc
_chemical_formula_sum 'Mg4 Fe4 Tc4'
_cell_length_a 4.984
_cell_length_b 5.004
_cell_length_c 7.312
_cell_angle_alpha 90.00
_cell_angle_beta 90.00
_cell_angle_gamma 90.00
_space_group_name_H-M_alt 'I m m a'
_space_group_IT_number 74
_space_group_name_Hall '-I 2b 2'
loop_
_atom_site_label
_atom_site_fract_x
_atom_site_fract_y
_atom_site_fract_z
Mg1 0.000 0.250 0.127
Fe1 0.250 0.250 0.750
Tc1 0.000 0.000 0.500
```

Computed properties:
* formation energy from the elements: 16.3 kJ per mole of atoms
* polymorph energy (0 for the lowest one): 28 meV/atom
* raw total energy: -6.639 eV per atom


Below is a geometry-optimized K4LaNb3O12 structure, with properties calculated at the PBE level.

Structure (CIF):
```
data_K4LaNb3O12
_chemical_formula_sum 'K8 La2 Nb6 O24'
_cell_length_a 8.457
_cell_length_b 8.457
_cell_length_c 8.457
_cell_angle_alpha 90.00
_cell_angle_beta 90.00
_cell_angle_gamma 90.00
_space_group_name_H-M_alt 'I m -3 m'
_space_group_IT_number 229
_space_group_name_Hall '-I 4 2 3'
loop_
_atom_site_label
_atom_site_fract_x
_atom_site_fract_y
_atom_site_fract_z
K1 0.250 0.250 0.250
La1 0.000 0.000 0.000
Nb1 0.000 0.000 0.500
O1 0.000 0.000 0.273
O2 0.000 0.250 0.500
```

Computed properties:
* uncorrected formation energy: -2.27 eV per atom
* raw total energy: -7.219 eV per atom


Below is a geometry-optimized AlV2Co structure, with properties calculated at the PBE level.

Structure (CIF):
```
data_AlV2Co
_chemical_formula_sum 'Al1 V2 Co1'
_cell_length_a 3.534
_cell_length_b 3.534
_cell_length_c 4.106
_cell_angle_alpha 90.00
_cell_angle_beta 90.00
_cell_angle_gamma 90.00
_space_group_name_H-M_alt 'P 4/m m m'
_space_group_IT_number 123
_space_group_name_Hall '-P 4 2'
loop_
_atom_site_label
_atom_site_fract_x
_atom_site_fract_y
_atom_site_fract_z
Al1 0.000 0.000 0.000
V1 0.000 0.500 0.500
Co1 0.500 0.500 0.000
```

Computed properties:
* formation energy from the elements: -20.3 kJ per mole of atoms
* raw total energy: -7.482 eV per atom


Below is a geometry-optimized Y2TaAu structure, with properties calculated at the PBE level.

Structure (CIF):
```
data_Y2TaAu
_chemical_formula_sum 'Y6 Ta3 Au3'
_cell_length_a 3.3609
_cell_length_b 3.3609
_cell_length_c 30.1863
_cell_angle_alpha 90.00
_cell_angle_beta 90.00
_cell_angle_gamma 120.00
_space_group_name_H-M_alt 'R 3 m'
_space_group_IT_number 160
_space_group_name_Hall 'R 3 -2"'
loop_
_atom_site_label
_atom_site_fract_x
_atom_site_fract_y
_atom_site_fract_z
Y1 0.0000 0.0000 0.0000
Y2 0.0000 0.0000 0.2274
Ta1 0.0000 0.0000 0.7475
Au1 0.0000 0.0000 0.4827
```

Computed properties:
* formation energy from the elements: 13.7 kJ per mole of atoms
* polymorph energy (0 for the lowest one): 306 meV/atom
* raw total energy: -6.872 eV per atom


Below is a geometry-optimized SrCu2Au structure, with properties calculated at the PBE level.

Structure (CIF):
```
data_SrCu2Au
_chemical_formula_sum 'Sr1 Cu2 Au1'
_cell_length_a 4.213
_cell_length_b 4.539
_cell_length_c 4.922
_cell_angle_alpha 90.00
_cell_angle_beta 90.00
_cell_angle_gamma 90.00
_space_group_name_H-M_alt 'P m m m'
_space_group_IT_number 47
_space_group_name_Hall '-P 2 2'
loop_
_atom_site_label
_atom_site_fract_x
_atom_site_fract_y
_atom_site_fract_z
Sr1 0.000 0.000 0.000
Cu1 0.500 0.500 0.245
Au1 0.500 0.000 0.500
```

Computed properties:
* formation energy from the elements: -17.6 kJ per mole of atoms
* polymorph energy (0 for the lowest one): 76 meV/atom
* raw total energy: -3.470 eV per atom


Below is a geometry-optimized CaNbSn2 structure, with properties calculated at the PBE level.

Structure (CIF):
```
data_CaNbSn2
_chemical_formula_sum 'Ca3 Nb3 Sn6'
_cell_length_a 3.3181
_cell_length_b 3.3181
_cell_length_c 33.2228
_cell_angle_alpha 90.00
_cell_angle_beta 90.00
_cell_angle_gamma 120.00
_space_group_name_H-M_alt 'R -3 m'
_space_group_IT_number 166
_space_group_name_Hall '-R 3 2"'
loop_
_atom_site_label
_atom_site_fract_x
_atom_site_fract_y
_atom_site_fract_z
Ca1 0.0000 0.0000 0.0000
Nb1 0.0000 0.0000 0.5000
Sn1 0.0000 0.0000 0.0972
```

Computed properties:
* formation energy from the elements: 15.3 kJ per mole of atoms
* raw total energy: -4.860 eV per atom


Below is a geometry-optimized LiCrAg2 structure, with properties calculated at the PBE level.

Structure (CIF):
```
data_LiCrAg2
_chemical_formula_sum 'Li1 Cr1 Ag2'
_cell_length_a 3.378
_cell_length_b 3.378
_cell_length_c 5.944
_cell_angle_alpha 90.00
_cell_angle_beta 90.00
_cell_angle_gamma 90.00
_space_group_name_H-M_alt 'P 4 m m'
_space_group_IT_number 99
_space_group_name_Hall 'P 4 -2'
loop_
_atom_site_label
_atom_site_fract_x
_atom_site_fract_y
_atom_site_fract_z
Li1 0.000 0.000 0.000
Cr1 0.500 0.500 0.736
Ag1 0.000 0.000 0.495
Ag2 0.500 0.500 0.217
```

Computed properties:
* formation energy from the elements: 25.5 kJ per mole of atoms
* polymorph energy (0 for the lowest one): 109 meV/atom
* raw total energy: -4.045 eV per atom


Below is a geometry-optimized DyHfAgPd structure, with properties calculated at the PBE level.

Structure (CIF):
```
data_DyHfAgPd
_chemical_formula_sum 'Dy4 Hf4 Ag4 Pd4'
_cell_length_a 6.931
_cell_length_b 6.931
_cell_length_c 6.931
_cell_angle_alpha 90.00
_cell_angle_beta 90.00
_cell_angle_gamma 90.00
_space_group_name_H-M_alt 'F -4 3 m'
_space_group_IT_number 216
_space_group_name_Hall 'F -4 2 3'
loop_
_atom_site_label
_atom_site_fract_x
_atom_site_fract_y
_atom_site_fract_z
Dy1 0.000 0.000 0.000
Hf1 0.000 0.000 0.500
Ag1 0.250 0.250 0.750
Pd1 0.250 0.250 0.250
```

Computed properties:
* formation energy from the elements: -34.5 kJ per mole of atoms
* raw total energy: -6.007 eV per atom


Below is a geometry-optimized Ac2Pm5Nd structure, with properties calculated at the PBE level.

Structure (CIF):
```
data_Ac2Pm5Nd
_chemical_formula_sum 'Ac4 Pm10 Nd2'
_cell_length_a 7.458
_cell_length_b 14.916
_cell_length_c 5.299
_cell_angle_alpha 90.00
_cell_angle_beta 90.00
_cell_angle_gamma 90.00
_space_group_name_H-M_alt 'P b a m'
_space_group_IT_number 55
_space_group_name_Hall '-P 2 2ab'
loop_
_atom_site_label
_atom_site_fract_x
_atom_site_fract_y
_atom_site_fract_z
Ac1 0.250 0.125 0.000
Pm1 0.000 0.000 0.500
Pm2 0.000 0.250 0.500
Pm3 0.250 0.375 0.000
Nd1 0.000 0.500 0.500
```

Computed properties:
* formation energy from the elements: 2.8 kJ per mole of atoms
* polymorph energy (0 for the lowest one): 0 meV/atom
* raw total energy: -4.563 eV per atom


Below is a geometry-optimized Tl2CrCl structure, with properties calculated at the PBE level.

Structure (CIF):
```
data_Tl2CrCl
_chemical_formula_sum 'Tl4 Cr2 Cl2'
_cell_length_a 3.614
_cell_length_b 7.417
_cell_length_c 9.165
_cell_angle_alpha 66.63
_cell_angle_beta 88.23
_cell_angle_gamma 76.24
_space_group_name_H-M_alt 'P 1'
_space_group_IT_number 1
_space_group_name_Hall 'P 1'
loop_
_atom_site_label
_atom_site_fract_x
_atom_site_fract_y
_atom_site_fract_z
Tl1 0.000 0.000 0.000
Tl2 0.043 0.971 0.558
Tl3 0.384 0.284 0.651
Tl4 0.597 0.717 0.318
Cr1 0.325 0.360 0.953
Cr2 0.733 0.599 0.658
Cl1 0.397 0.206 0.233
Cl2 0.695 0.631 0.911
```

Computed properties:
* uncorrected formation energy: -0.02 eV per atom
* polymorph energy (0 for the lowest one): 56 meV/atom
* raw total energy: -4.075 eV per atom


Below is a geometry-optimized MoIr2PbSe structure, with properties calculated at the PBE level.

Structure (CIF):
```
data_MoIr2PbSe
_chemical_formula_sum 'Mo1 Ir2 Pb1 Se1'
_cell_length_a 4.582
_cell_length_b 4.582
_cell_length_c 5.496
_cell_angle_alpha 90.00
_cell_angle_beta 90.00
_cell_angle_gamma 90.00
_space_group_name_H-M_alt 'P 4/m m m'
_space_group_IT_number 123
_space_group_name_Hall '-P 4 2'
loop_
_atom_site_label
_atom_site_fract_x
_atom_site_fract_y
_atom_site_fract_z
Mo1 0.000 0.000 0.000
Ir1 0.000 0.500 0.500
Pb1 0.500 0.500 0.000
Se1 0.500 0.500 0.500
```

Computed properties:
* uncorrected formation energy: 1.53 eV per atom
* raw total energy: -5.620 eV per atom


Below is a geometry-optimized SrZrBe2 structure, with properties calculated at the PBE level.

Structure (CIF):
```
data_SrZrBe2
_chemical_formula_sum 'Sr2 Zr2 Be4'
_cell_length_a 3.419
_cell_length_b 4.193
_cell_length_c 12.048
_cell_angle_alpha 90.00
_cell_angle_beta 90.00
_cell_angle_gamma 90.00
_space_group_name_H-M_alt 'I m m 2'
_space_group_IT_number 44
_space_group_name_Hall 'I 2 -2'
loop_
_atom_site_label
_atom_site_fract_x
_atom_site_fract_y
_atom_site_fract_z
Sr1 0.000 0.000 0.000
Zr1 0.000 0.500 0.765
Be1 0.000 0.000 0.635
Be2 0.000 0.500 0.240
```

Computed properties:
* formation energy from the elements: 37.3 kJ per mole of atoms
* polymorph energy (0 for the lowest one): 149 meV/atom
* raw total energy: -4.034 eV per atom


Below is a geometry-optimized KLi4Pb5 structure, with properties calculated at the PBE level.

Structure (CIF):
```
data_KLi4Pb5
_chemical_formula_sum 'K1 Li4 Pb5'
_cell_length_a 3.488
_cell_length_b 3.488
_cell_length_c 20.572
_cell_angle_alpha 90.00
_cell_angle_beta 90.00
_cell_angle_gamma 90.00
_space_group_name_H-M_alt 'P 4/m m m'
_space_group_IT_number 123
_space_group_name_Hall '-P 4 2'
loop_
_atom_site_label
_atom_site_fract_x
_atom_site_fract_y
_atom_site_fract_z
K1 0.000 0.000 0.000
Li1 0.000 0.000 0.228
Li2 0.000 0.000 0.409
Pb1 0.500 0.500 0.139
Pb2 0.500 0.500 0.317
Pb3 0.500 0.500 0.500
```

Computed properties:
* formation energy from the elements: -21.3 kJ per mole of atoms
* raw total energy: -2.950 eV per atom